Record 1
First-principles (PBE) data for a relaxed structure of SrOsRhO6, as listed in Alexandria.

formation energy (no corrections)	-1.411	eV/atom
calculated volume	14.336	A^3/atom
D(E_F)	0.208	states/eV/atom
SG	P312, No. 149

Geometry as POSCAR:
```
SrOsRhO6
1.0
5.3323 0.0000 0.0000
-2.6662 4.6179 0.0000
0.0000 0.0000 5.2397
Sr Os Rh O
1 1 1 6
Direct
0.0000 0.0000 0.0000
0.3333 0.6667 0.5000
0.6667 0.3333 0.5000
0.0121 0.3897 0.7027
0.0121 0.6224 0.2973
0.3776 0.3897 0.2973
0.3776 0.9879 0.7027
0.6103 0.6224 0.7027
0.6103 0.9879 0.2973
```

Record 2
First-principles (PBE) data for a relaxed structure of Tl2OsRhO6, as listed in Alexandria.

formation energy (no corrections)	-0.756	eV/atom
calculated volume	16.798	A^3/atom
D(E_F)	0.434	states/eV/atom
SG	P-3m1, No. 164

Geometry as POSCAR:
```
Tl2OsRhO6
1.0
6.1201 0.0000 0.0000
-3.0600 5.3001 0.0000
0.0000 0.0000 5.1788
Tl Os Rh O
2 1 1 6
Direct
0.3333 0.6667 0.2193
0.6667 0.3333 0.7807
0.0000 0.0000 0.5000
0.0000 0.0000 0.0000
0.1431 0.2862 0.7350
0.1431 0.8569 0.7350
0.2862 0.1431 0.2650
0.7138 0.8569 0.7350
0.8569 0.1431 0.2650
0.8569 0.7138 0.2650
```

Record 3
First-principles (PBE) data for a relaxed structure of TlOsRhO6, as listed in Alexandria.

formation energy (no corrections)	-0.849	eV/atom
calculated volume	15.739	A^3/atom
D(E_F)	0.153	states/eV/atom
SG	P312, No. 149

Geometry as POSCAR:
```
TlOsRhO6
1.0
5.3344 0.0000 0.0000
-2.6672 4.6197 0.0000
0.0000 0.0000 5.7479
Tl Os Rh O
1 1 1 6
Direct
0.0000 0.0000 0.0000
0.6667 0.3333 0.5000
0.3333 0.6667 0.5000
0.3939 0.0144 0.6813
0.3939 0.3795 0.3187
0.6205 0.0144 0.3187
0.6205 0.6061 0.6813
0.9856 0.3795 0.6813
0.9856 0.6061 0.3187
```

Record 4
First-principles (PBE) data for a relaxed structure of Tl3OsRh3O8, as listed in Alexandria.

formation energy (no corrections)	-0.639	eV/atom
calculated volume	15.199	A^3/atom
D(E_F)	0.380	states/eV/atom
SG	C2/m, No. 12

Geometry as POSCAR:
```
Tl3OsRh3O8
1.0
5.5268 -3.1798 0.0000
5.5268 3.1798 0.0000
-3.7416 0.0000 6.4866
Tl Os Rh O
3 1 3 8
Direct
0.0000 0.0000 0.0000
0.0000 0.5000 0.0000
0.5000 0.0000 0.0000
0.0000 0.0000 0.5000
0.0000 0.5000 0.5000
0.5000 0.0000 0.5000
0.5000 0.5000 0.5000
0.2130 0.2130 0.6493
0.2125 0.7257 0.6495
0.2743 0.7875 0.3505
0.2828 0.2828 0.3502
0.7172 0.7172 0.6498
0.7257 0.2125 0.6495
0.7875 0.2743 0.3505
0.7870 0.7870 0.3507
```

Record 5
First-principles (PBE) data for a relaxed structure of OsRu3O, as listed in Alexandria.

formation energy (no corrections)	2.209	eV/atom
calculated volume	20.768	A^3/atom
D(E_F)	1.427	states/eV/atom
SG	Pm-3m, No. 221

Geometry as POSCAR:
```
OsRu3O
1.0
4.7003 0.0000 0.0000
0.0000 4.7003 0.0000
0.0000 0.0000 4.7003
Os Ru O
1 3 1
Direct
0.0000 0.0000 0.0000
0.0000 0.0000 0.5000
0.0000 0.5000 0.0000
0.5000 0.0000 0.0000
0.5000 0.5000 0.5000
```

Record 6
First-principles (PBE) data for a relaxed structure of Os2RuO, as listed in Alexandria.

formation energy (no corrections)	0.829	eV/atom
calculated volume	15.719	A^3/atom
D(E_F)	1.660	states/eV/atom
SG	I-42d, No. 122

Geometry as POSCAR:
```
Os2RuO
1.0
4.5138 0.0000 0.0000
0.0000 4.5138 0.0000
0.0000 0.0000 12.3444
Os Ru O
8 4 4
Direct
0.1470 0.2500 0.1250
0.2500 0.6470 0.3750
0.2500 0.8530 0.8750
0.3530 0.2500 0.6250
0.6470 0.7500 0.6250
0.7500 0.1470 0.8750
0.7500 0.3530 0.3750
0.8530 0.7500 0.1250
0.0000 0.0000 0.5000
0.0000 0.5000 0.7500
0.5000 0.0000 0.2500
0.5000 0.5000 0.0000
0.0000 0.0000 0.0000
0.0000 0.5000 0.2500
0.5000 0.0000 0.7500
0.5000 0.5000 0.5000
```

Record 7
First-principles (PBE) data for a relaxed structure of OsRuO2, as listed in Alexandria.

formation energy (no corrections)	-0.322	eV/atom
calculated volume	10.967	A^3/atom
D(E_F)	0.814	states/eV/atom
SG	R-3m, No. 166

Geometry as POSCAR:
```
OsRuO2
1.0
2.7579 0.0000 0.0000
-1.3789 2.3884 0.0000
0.0000 0.0000 19.9794
Os Ru O
3 3 6
Direct
0.0000 0.0000 0.0000
0.3333 0.6667 0.6667
0.6667 0.3333 0.3333
0.0000 0.0000 0.5000
0.3333 0.6667 0.1667
0.6667 0.3333 0.8333
0.0000 0.0000 0.0983
0.0000 0.0000 0.9017
0.3333 0.6667 0.5683
0.3333 0.6667 0.7650
0.6667 0.3333 0.2350
0.6667 0.3333 0.4317
```

Record 8
First-principles (PBE) data for a relaxed structure of OsRuO2, as listed in Alexandria.

formation energy (no corrections)	0.790	eV/atom
calculated volume	10.657	A^3/atom
D(E_F)	1.443	states/eV/atom
SG	Fm-3m, No. 225

Geometry as POSCAR:
```
OsRuO2
1.0
5.5452 0.0000 0.0000
0.0000 5.5452 0.0000
0.0000 0.0000 5.5452
Os Ru O
4 4 8
Direct
0.0000 0.0000 0.0000
0.0000 0.5000 0.5000
0.5000 0.0000 0.5000
0.5000 0.5000 0.0000
0.0000 0.0000 0.5000
0.0000 0.5000 0.0000
0.5000 0.0000 0.0000
0.5000 0.5000 0.5000
0.2500 0.2500 0.2500
0.2500 0.2500 0.7500
0.2500 0.7500 0.2500
0.2500 0.7500 0.7500
0.7500 0.2500 0.2500
0.7500 0.2500 0.7500
0.7500 0.7500 0.2500
0.7500 0.7500 0.7500
```

Record 9
First-principles (PBE) data for a relaxed structure of OsRuO3, as listed in Alexandria.

formation energy (no corrections)	0.553	eV/atom
calculated volume	11.624	A^3/atom
D(E_F)	0.830	states/eV/atom
SG	Pm-3m, No. 221

Geometry as POSCAR:
```
OsRuO3
1.0
3.8735 0.0000 0.0000
0.0000 3.8735 0.0000
0.0000 0.0000 3.8735
Os Ru O
1 1 3
Direct
0.0000 0.0000 0.0000
0.5000 0.5000 0.5000
0.0000 0.5000 0.5000
0.5000 0.0000 0.5000
0.5000 0.5000 0.0000
```

Record 10
First-principles (PBE) data for a relaxed structure of Os2RuO6, as listed in Alexandria.

formation energy (no corrections)	-0.888	eV/atom
calculated volume	10.739	A^3/atom
D(E_F)	0.753	states/eV/atom
SG	P321, No. 150

Geometry as POSCAR:
```
Os2RuO6
1.0
8.4688 0.0000 0.0000
-4.2344 7.3342 0.0000
0.0000 0.0000 4.6681
Os Ru O
6 3 18
Direct
0.0000 0.3323 0.0000
0.0000 0.6655 0.5000
0.3323 0.0000 0.0000
0.3345 0.3345 0.5000
0.6655 0.0000 0.5000
0.6677 0.6677 0.0000
0.0000 0.0000 0.5000
0.3333 0.6667 0.0004
0.6667 0.3333 0.9996
0.1048 0.5533 0.2557
0.1111 0.2288 0.2498
0.1177 0.8889 0.2498
0.2137 0.7768 0.7561
0.2232 0.4369 0.7561
0.2288 0.1111 0.7502
0.4369 0.2232 0.2439
0.4467 0.5514 0.2557
0.4486 0.8952 0.2557
0.5514 0.4467 0.7443
0.5533 0.1048 0.7443
0.5631 0.7863 0.7561
0.7712 0.8823 0.2498
0.7768 0.2137 0.2439
0.7863 0.5631 0.2439
0.8823 0.7712 0.7502
0.8889 0.1177 0.7502
0.8952 0.4486 0.7443
```

Record 11
First-principles (PBE) data for a relaxed structure of Os2RuO8, as listed in Alexandria.

formation energy (no corrections)	-0.602	eV/atom
calculated volume	16.533	A^3/atom
D(E_F)	0.439	states/eV/atom
SG	C2/m, No. 12

Geometry as POSCAR:
```
Os2RuO8
1.0
5.4569 -4.4773 0.0000
5.4569 4.4773 0.0000
-0.6552 0.0000 3.7218
Os Ru O
2 1 8
Direct
0.2470 0.2470 0.3828
0.7530 0.7530 0.6172
0.5000 0.5000 0.5000
0.0872 0.0872 0.2955
0.2130 0.5224 0.4395
0.2497 0.2497 0.8814
0.4776 0.7870 0.5605
0.5224 0.2130 0.4395
0.7503 0.7503 0.1186
0.7870 0.4776 0.5605
0.9128 0.9128 0.7045
```

Record 12
First-principles (PBE) data for a relaxed structure of OsRu3O, as listed in Alexandria.

formation energy (no corrections)	0.515	eV/atom
calculated volume	13.099	A^3/atom
D(E_F)	1.413	states/eV/atom
SG	Pm-3m, No. 221

Geometry as POSCAR:
```
OsRu3O
1.0
4.0309 0.0000 0.0000
0.0000 4.0309 0.0000
0.0000 0.0000 4.0309
Os Ru O
1 3 1
Direct
0.0000 0.0000 0.0000
0.0000 0.5000 0.5000
0.5000 0.0000 0.5000
0.5000 0.5000 0.0000
0.5000 0.5000 0.5000
```

no.,total energy (eV/cell)
1,-62.71
2,-60.62
3,-58.34
4,-89.63
5,-32.97
6,-133.52
7,-95.13
8,-109.04
9,-32.61
10,-208.42
11,-78.03
12,-41.44